BaGaSn2S6 | PBE | relaxed

Unit cell a=8.4635 b=9.2891 c=9.2891 alpha=78.33 beta=66.63 gamma=66.63
Fractional positions:
Ba1 0.2500 0.8219 0.1781
Ba2 0.7500 0.1781 0.8219
Ga1 0.2500 0.1771 0.8229
Ga2 0.7500 0.8229 0.1771
Sn1 0.3641 0.7653 0.6347
Sn2 0.1359 0.3653 0.2347
Sn3 0.6359 0.2347 0.3653
Sn4 0.8641 0.6347 0.7653
S1 0.1646 0.9633 0.8375
S2 0.3354 0.1625 0.0367
S3 0.8354 0.0367 0.1625
S4 0.6646 0.8375 0.9633
S5 0.4627 0.8857 0.3663
S6 0.0373 0.6337 0.1143
S7 0.5373 0.1143 0.6337
S8 0.9627 0.3663 0.8857
S9 0.1110 0.7254 0.5785
S10 0.3890 0.4215 0.2746
S11 0.8890 0.2746 0.4215
S12 0.6110 0.5785 0.7254

**Energy relative to the elements, uncorrected**: -0.710 eV per atom
**Magnetization**: 0.00 μB per formula unit
**ρ**: 3.44 g/cm³
**VASP energy**: -89.6 eV/cell